(1)
TaAl2Cr after structural relaxation, computed with GGA-PBE.

Summary:
The magnetic moment is 0.2 μB per formula unit. The calculation puts the formation energy at -2.5 kcal/mol of atoms. The calculated density is 7.8 g/cm3. For the final energy, the calculation gives -7.349 eV/atom. As for the energy above the most stable polymorph in this dataset: 14 meV/atom.

```
4
Lattice="-2.867 1.443 -0.443 -1.202 -2.757 -1.206 -1.643 -1.623 5.344" Properties=species:S:1:pos:R:3 pbc="T T T"
Cr -0.836 -0.826 2.721
Ta -3.225 -1.833 3.049
Al -2.459 -1.076 0.558
Al -0.012 -0.012 0.039
```

=====

(2)
Ta2Al3Cr after structural relaxation, computed with GGA-PBE.

Summary:
The magnetic moment is 1.1 μB per formula unit. The calculation puts the formation energy at -5.0 kcal/mol of atoms. The calculated density is 8.9 g/cm3. For the final energy, the calculation gives -7.645 eV/atom.

```
6
Lattice="-3.773 1.737 2.941 2.246 -4.432 1.099 4.503 2.288 0.021" Properties=species:S:1:pos:R:3 pbc="T T T"
Al 0.365 2.012 1.481
Ta 4.404 -0.329 1.445
Al 2.251 1.144 0.010
Al 1.488 -0.204 2.030
Cr 0.000 0.000 0.000
Ta -1.428 -0.078 2.615
```

=====

> The highest magnetic moment belongs to which entry?

Ta2Al3Cr